Record 1
Here is a relaxed Cu2NiPt crystal from Alexandria. Energies are from PBE-GGA.

a b c (Å): 2.7030 4.4665 8.6491
angles (deg): 90.00 90.00 90.00
Space group Cmmm (No. 65)
Inequivalent atoms, fractional coordinates:
Cu  0.0000  0.0000  0.2349 [4 per cell]
Ni  0.0000  0.5000  0.0000 [2 per cell]
Pt  0.0000  0.5000  0.5000 [2 per cell]

Summary:
Final energy: -19.9 eV/f.u.
Volume: 104 Å³ per cell

---

Record 2
Here is a relaxed CuNiPt2 crystal from Alexandria. Energies are from PBE-GGA.

a b c (Å): 2.7395 2.7395 7.2780
angles (deg): 90.00 90.00 90.00
Space group P4mm (No. 99)
Inequivalent atoms, fractional coordinates:
Cu  0.0000  0.0000  0.0000 [1 per cell]
Ni  0.5000  0.5000  0.2212 [1 per cell]
Pt  0.0000  0.0000  0.4620 [1 per cell]
Pt  0.5000  0.5000  0.7490 [1 per cell]

Summary:
Final energy: -22.2 eV/f.u.
Volume: 55 Å³ per cell

---

Record 3
Here is a relaxed Cu2NiPt2 crystal from Alexandria. Energies are from PBE-GGA.

a b c (Å): 8.2379 3.8054 5.8130
angles (deg): 90.00 132.79 90.00
Space group C2/m (No. 12)
Inequivalent atoms, fractional coordinates:
Cu  0.1977  0.0000  0.0924 [4 per cell]
Ni  0.0000  0.0000  0.5000 [2 per cell]
Pt  0.0962  0.5000  0.3029 [4 per cell]

Summary:
Final energy: -26.5 eV/f.u.
Distance to the lowest polymorph of the same formula: 0.000 eV per atom
Volume: 134 Å³ per cell

---

Record 4
Here is a relaxed CuNi4Pt crystal from Alexandria. Energies are from PBE-GGA.

a b c (Å): 3.6456 10.8316 3.6300
angles (deg): 90.00 90.00 90.00
Space group Cmmm (No. 65)
Inequivalent atoms, fractional coordinates:
Cu  0.0000  0.0000  0.0000 [2 per cell]
Ni  0.0000  0.1723  0.5000 [4 per cell]
Ni  0.0000  0.3273  0.0000 [4 per cell]
Pt  0.0000  0.5000  0.5000 [2 per cell]

Summary:
Final energy: -33.4 eV/f.u.
Distance to the lowest polymorph of the same formula: 0.000 eV per atom
Volume: 143 Å³ per cell

---

Record 5
Here is a relaxed Cu6NiPt5 crystal from Alexandria. Energies are from PBE-GGA.

a b c (Å): 3.8491 7.3208 11.5364
angles (deg): 90.00 90.00 90.00
Space group Immm (No. 71)
Inequivalent atoms, fractional coordinates:
Cu  0.0000  0.2484  0.1649 [8 per cell]
Cu  0.0000  0.2510  0.5000 [4 per cell]
Ni  0.0000  0.0000  0.0000 [2 per cell]
Pt  0.0000  0.0000  0.3309 [4 per cell]
Pt  0.0000  0.5000  0.0000 [2 per cell]
Pt  0.0000  0.5000  0.3415 [4 per cell]

Summary:
Final energy: -61.8 eV/f.u.
Volume: 325 Å³ per cell

---

Record 6
Here is a relaxed Cu6NiPt12 crystal from Alexandria. Energies are from PBE-GGA.

a b c (Å): 11.8993 11.8993 6.6916
angles (deg): 90.00 90.00 120.00
Space group R-3 (No. 148, hexagonal axes)
Inequivalent atoms, fractional coordinates:
Cu  0.0357  0.2825  0.3341 [18 per cell]
Ni  0.0000  0.0000  0.0000 [3 per cell]
Pt  0.0170  0.1419  0.6672 [18 per cell]
Pt  0.0697  0.5619  0.6683 [18 per cell]

Summary:
Final energy: -105.1 eV/f.u.
Volume: 821 Å³ per cell

---

Record 7
Here is a relaxed Cu2Ni2Pt5 crystal from Alexandria. Energies are from PBE-GGA.

a b c (Å): 12.7862 6.4199 6.4420
angles (deg): 90.00 90.00 90.00
Space group Cmce (No. 64)
Inequivalent atoms, fractional coordinates:
Cu  0.2076  0.0000  0.0000 [8 per cell]
Ni  0.0000  0.1267  0.3727 [8 per cell]
Pt  0.0000  0.0000  0.0000 [4 per cell]
Pt  0.1364  0.1690  0.6708 [16 per cell]

Summary:
Final energy: -48.4 eV/f.u.
Distance to the lowest polymorph of the same formula: 0.256 eV per atom
Volume: 529 Å³ per cell

---

Record 8
Here is a relaxed Cu2NiPt2 crystal from Alexandria. Energies are from PBE-GGA.

a b c (Å): 3.2669 3.2669 13.5195
angles (deg): 90.00 90.00 90.00
Space group I4/mmm (No. 139)
Inequivalent atoms, fractional coordinates:
Cu  0.0000  0.5000  0.2500 [4 per cell]
Ni  0.0000  0.0000  0.0000 [2 per cell]
Pt  0.0000  0.0000  0.4018 [4 per cell]

Summary:
Final energy: -24.9 eV/f.u.
Distance to the lowest polymorph of the same formula: 0.324 eV per atom
Volume: 144 Å³ per cell

---

Record 9
Here is a relaxed CuNiPt2 crystal from Alexandria. Energies are from PBE-GGA.

a b c (Å): 2.6949 4.1213 5.1279
angles (deg): 90.00 105.22 90.00
Space group Pm (No. 6)
Inequivalent atoms, fractional coordinates:
Cu  0.0000  0.0000  0.0000 [1 per cell]
Ni  0.1311  0.5000  0.2731 [1 per cell]
Pt  0.3943  0.5000  0.7932 [1 per cell]
Pt  0.7320  0.0000  0.4735 [1 per cell]

Summary:
Final energy: -22.2 eV/f.u.
Volume: 55 Å³ per cell

---

Record 10
Here is a relaxed Cu4Ni2Pt crystal from Alexandria. Energies are from PBE-GGA.

a b c (Å): 3.2374 3.2374 17.6288
angles (deg): 90.00 90.00 90.00
Space group I4/mmm (No. 139)
Inequivalent atoms, fractional coordinates:
Cu  0.0000  0.0000  0.1424 [4 per cell]
Cu  0.0000  0.5000  0.2500 [4 per cell]
Ni  0.0000  0.0000  0.4261 [4 per cell]
Pt  0.0000  0.0000  0.0000 [2 per cell]

Summary:
Final energy: -32.2 eV/f.u.
Volume: 185 Å³ per cell

---

Record 11
Here is a relaxed CuNi3Pt crystal from Alexandria. Energies are from PBE-GGA.

a b c (Å): 4.2167 4.2167 4.2167
angles (deg): 90.00 90.00 90.00
Space group Pm-3m (No. 221)
Inequivalent atoms, fractional coordinates:
Cu  0.0000  0.0000  0.0000 [1 per cell]
Ni  0.0000  0.0000  0.5000 [3 per cell]
Pt  0.5000  0.5000  0.5000 [1 per cell]

Summary:
Final energy: -22.2 eV/f.u.
Distance to the lowest polymorph of the same formula: 1.048 eV per atom
Volume: 75 Å³ per cell

---

Record 12
Here is a relaxed Cu14NiPt crystal from Alexandria. Energies are from PBE-GGA.

a b c (Å): 8.4155 5.2068 8.8639
angles (deg): 90.00 90.00 90.00
Space group Amm2 (No. 38)
Inequivalent atoms, fractional coordinates:
Cu  0.0000  0.0000  0.0000 [2 per cell]
Cu  0.0000  0.0000  0.4998 [2 per cell]
Cu  0.0000  0.2486  0.2490 [4 per cell]
Cu  0.2457  0.0000  0.6661 [4 per cell]
Cu  0.2467  0.2460  0.4176 [8 per cell]
Cu  0.2509  0.0000  0.1678 [4 per cell]
Cu  0.5000  0.2494  0.5863 [4 per cell]
Ni  0.5000  0.0000  0.3374 [2 per cell]
Pt  0.5000  0.0000  0.8367 [2 per cell]

Summary:
Final energy: -69.5 eV/f.u.
Volume: 388 Å³ per cell

---

In order of appearance, energy of formation = 0.03 -0.06 -0.09 -0.03 -0.11 -0.12 0.17 0.23 -0.05 0.25 1.06 -0.02 eV per atom.